NaLiS2N PBE-GGA optimized geometry; energy relative to the elements, uncorrected = 614 meV/atom; magnetic moment = 0.61 μB per atom
1.0
4.5129 0.0000 0.0000
0.0000 4.5129 0.0000
0.0000 0.0000 4.4869
Na Li S N
1 1 2 1
direct
0.0000 0.0000 0.0000 Na
0.5000 0.5000 0.5000 Li
0.0000 0.5000 0.5000 S
0.5000 0.0000 0.5000 S
0.5000 0.5000 0.0000 N